1.
The following is a DFT calculation (PBE-GGA) of crystalline BeBiAu2 at its relaxed geometry.

CIF file:
```
data_BeBiAu2
_chemical_formula_sum 'Be3 Bi3 Au6'
_cell_length_a 3.8591
_cell_length_b 3.8591
_cell_length_c 18.7659
_cell_angle_alpha 90.00
_cell_angle_beta 90.00
_cell_angle_gamma 120.00
_space_group_name_H-M_alt 'R 3 m'
_space_group_IT_number 160
_space_group_name_Hall 'R 3 -2"'
loop_
_atom_site_label
_atom_site_type_symbol
_atom_site_fract_x
_atom_site_fract_y
_atom_site_fract_z
Be1 Be 0.0000 0.0000 0.0000
Bi1 Bi 0.0000 0.0000 0.1664
Au1 Au 0.0000 0.0000 0.3855
Au2 Au 0.0000 0.0000 0.6155
```

theoretical density = 12.6 g/cm3
total moment = 0.0 μB per formula unit
distance to the lowest polymorph of the same formula = 12 meV per atom

=====

2.
The following is a DFT calculation (PBE-GGA) of crystalline Pm8Tl2Ru3 at its relaxed geometry.

CIF file:
```
data_Pm8Tl2Ru3
_chemical_formula_sum 'Pm8 Tl2 Ru3'
_cell_length_a 8.8576
_cell_length_b 5.1055
_cell_length_c 9.2256
_cell_angle_alpha 90.00
_cell_angle_beta 113.40
_cell_angle_gamma 90.00
_space_group_name_H-M_alt 'P 1 2/m 1'
_space_group_IT_number 10
loop_
_space_group_symop_operation_xyz
'x,y,z'
'-x,-y,-z'
'-x,y,-z'
'x,-y,z'
loop_
_atom_site_label
_atom_site_type_symbol
_atom_site_fract_x
_atom_site_fract_y
_atom_site_fract_z
Pm1 Pm 0.1062 0.0000 0.3808
Pm2 Pm 0.1523 0.5000 0.8535
Pm3 Pm 0.3564 0.5000 0.6198
Pm4 Pm 0.3942 0.0000 0.1153
Tl1 Tl 0.2470 0.5000 0.2337
Ru1 Ru 0.0000 0.5000 0.5000
Ru2 Ru 0.2541 0.0000 0.7439
```

theoretical density = 8.1 g/cm3
electronic total energy = -72.77 eV/cell
total moment = 0.0 μB per formula unit